Record 1
Compound: Pr6CdAg2
Source: the Alexandria database
Functional: GGA-PBE
Structure: relaxed

Unit cell a=9.008 b=9.008 c=9.008 alpha=107.99 beta=111.38 gamma=109.07
Element x y z (fractional)
1 Pr 0.801 0.750 0.551
2 Pr 0.722 0.046 0.324
3 Pr 0.199 0.750 0.949
4 Pr 0.910 0.731 0.179
5 Pr 0.199 0.250 0.449
6 Pr 0.278 0.602 0.324
7 Pr 0.552 0.731 0.821
8 Pr 0.448 0.269 0.179
9 Pr 0.278 0.954 0.676
10 Pr 0.801 0.250 0.051
11 Pr 0.722 0.398 0.676
12 Pr 0.090 0.269 0.821
13 Ag 0.500 0.631 0.131
14 Ag 0.357 0.000 0.357
15 Ag 0.500 0.369 0.869
16 Ag 0.643 0.000 0.643
17 Cd 0.000 0.000 0.000
18 Cd 0.000 0.500 0.500

symmetry	Immm (71)
energy of formation from the pure elements	-0.14	eV per atom
size of the total moment	0.0	μB per formula unit
crystal system	orthorhombic
final energy	-73.13	eV per cell


Record 2
Compound: Pr4Cd2Ag3
Source: the Alexandria database
Functional: GGA-PBE
Structure: relaxed

Unit cell a=5.134 b=5.792 c=9.331 alpha=77.93 beta=90.00 gamma=63.69
Element x y z (fractional)
1 Pr 0.936 0.128 0.653
2 Pr 0.357 0.286 0.098
3 Pr 0.064 0.872 0.347
4 Pr 0.643 0.714 0.902
5 Ag 0.634 0.733 0.564
6 Ag 0.000 0.000 0.000
7 Ag 0.366 0.267 0.436
8 Cd 0.264 0.471 0.724
9 Cd 0.736 0.529 0.276

symmetry	C2/m (12)
energy of formation from the pure elements	-0.23	eV per atom
size of the total moment	0.0	μB per formula unit
crystal system	monoclinic
final energy	-31.61	eV per cell


| no. | Fermi-level density of states (states/eV/f.u.) |
| --- | --- |
| 1 | 11.64 |
| 2 | 8.45 |